No. 1
! AgMo3, relaxed, DFT PBE-GGA; values from VASP
&SYSTEM
  ibrav = 0, nat = 16, ntyp = 2
/
ATOMIC_SPECIES
Ag 107.87 Ag.upf
Mo 95.94 Mo.upf
CELL_PARAMETERS angstrom
6.390 0.000 0.000
0.000 6.390 0.000
0.000 0.000 6.390
ATOMIC_POSITIONS angstrom
Ag 0.000 0.000 0.000
Ag 0.000 3.195 3.195
Ag 3.195 0.000 3.195
Ag 3.195 3.195 0.000
Mo 0.000 0.000 3.195
Mo 0.000 3.195 0.000
Mo 1.597 1.597 1.597
Mo 1.597 1.597 4.792
Mo 1.597 4.792 1.597
Mo 1.597 4.792 4.792
Mo 3.195 0.000 0.000
Mo 3.195 3.195 3.195
Mo 4.792 1.597 1.597
Mo 4.792 1.597 4.792
Mo 4.792 4.792 1.597
Mo 4.792 4.792 4.792
! * energy: -8.258 eV per atom
! * ρ: 10.08 g/cm³
! * D(E_F): 5.56 states/eV/f.u.
! * energy of formation from the pure elements: 223 kJ/mol of formula units


No. 2
! Ag7Mo, relaxed, DFT PBE-GGA; values from VASP
&SYSTEM
  ibrav = 0, nat = 8, ntyp = 2
/
ATOMIC_SPECIES
Ag 107.87 Ag.upf
Mo 95.94 Mo.upf
CELL_PARAMETERS angstrom
0.000 4.170 4.170
4.170 0.000 4.170
4.170 4.170 0.000
ATOMIC_POSITIONS angstrom
Ag 0.000 0.000 0.000
Ag 2.085 2.085 0.000
Ag 2.085 0.000 2.085
Ag 4.170 2.085 2.085
Ag 0.000 2.085 2.085
Ag 2.085 4.170 2.085
Ag 2.085 2.085 4.170
Mo 4.170 4.170 4.170
! * energy: -3.493 eV per atom
! * ρ: 9.74 g/cm³
! * D(E_F): 2.98 states/eV/f.u.
! * energy of formation from the pure elements: 275 kJ/mol of formula units